Compound: MnH5O4
Source: Alexandria
Functional: GGA+U
Structure: optimized geometry

Properties
DFT total energy (eV per atom): -5.34
Density of states at the Fermi level (states/eV/atom): 0.075

```
20
Lattice="5.0672 0.0000 0.0000 0.0000 7.9082 0.0000 0.0000 0.0000 4.6466" Properties=species:S:1:pos:R:3 pbc="T T T"
Mn 1.2668 1.9771 1.0807
Mn 3.8004 5.9312 3.5659
H 0.5103 0.8772 3.2757
H 0.5103 3.0769 3.2757
H 1.2668 5.9312 4.6393
H 2.0233 0.8772 3.2757
H 2.0233 3.0769 3.2757
H 3.0439 4.8313 1.3709
H 3.0439 7.0311 1.3709
H 3.8004 1.9771 0.0073
H 4.5569 4.8313 1.3709
H 4.5569 7.0311 1.3709
O 0.0719 5.9312 0.1823
O 1.2668 0.5594 2.6770
O 1.2668 3.3947 2.6770
O 2.4617 5.9312 0.1823
O 2.6055 1.9771 4.4643
O 3.8004 4.5135 1.9696
O 3.8004 7.3488 1.9696
O 4.9953 1.9771 4.4643
```